Density functional theory data (GGA+U) for Na3Cr2GaO6 after structural relaxation.

Results
The calculation puts the raw total energy at -6.199 eV/atom. For the density of states at the Fermi level, the calculation gives 0.0 states/eV/cell.

a b c (Å): 5.264 9.117 5.655
angles (deg): 90.00 108.05 90.00
Space group C2/m (No. 12)
One atom of each set of equivalent atoms:
Na  0.000  0.000  0.000 (multiplicity 2)
Na  0.000  0.333  0.000 (multiplicity 4)
Cr  0.000  0.167  0.500 (multiplicity 4)
Ga  0.000  0.500  0.500 (multiplicity 2)
O  0.232  0.334  0.698 (multiplicity 8)
O  0.233  0.000  0.698 (multiplicity 4)